## Pu2FeO7 (GGA+U)

Data for an optimized crystal structure of Pu2FeO7.

abc: 3.3716 5.1795 9.1647
angles: 87.80 89.95 71.08
Space group P-1 (No. 2)
Unique sites:
Pu: 0.0731 0.3531 0.2934 x2
Fe: 0.5000 0.5000 0.0000 x1
O: 0.0000 0.5000 0.5000 x1
O: 0.1145 0.2702 0.0716 x2
O: 0.3091 0.8826 0.6590 x2
O: 0.4503 0.5988 0.2154 x2

Computed properties:
total energy = -9.08 eV per atom
crystal system = triclinic
magnetization = 1.000 μB per atom